Entry from Alexandria: a geometry-optimized BaSr3V structure (PBE-GGA).

As for the formation energy: 0.488 eV/atom. Its total DFT energy (no corrections) is -0.1003 hartree per atom. The energy above the most stable polymorph in this dataset comes out at 0 meV/atom.

The space group is Pm-3m (No. 221) and the conventional cell measures 6.4041, 6.4041 and 6.4041 Å, with angles of 90.00, 90.00 and 90.00 degrees. The asymmetric unit holds Ba at (0.0000, 0.0000, 0.0000), Sr at (0.0000, 0.5000, 0.5000) and V at (0.5000, 0.5000, 0.5000).

Entry from Alexandria: a geometry-optimized BaSrV2 structure (PBE-GGA).

As for the formation energy: 1.048 eV/atom. Its total DFT energy (no corrections) is -0.1621 hartree per atom. The energy above the most stable polymorph in this dataset comes out at 0 meV/atom.

The space group is Fm-3m (No. 225) and the conventional cell measures 8.1583, 8.1583 and 8.1583 Å, with angles of 90.00, 90.00 and 90.00 degrees. The asymmetric unit holds Ba at (0.0000, 0.0000, 0.0000), Sr at (0.0000, 0.0000, 0.5000) and V at (0.2500, 0.2500, 0.2500).

Entry from Alexandria: a geometry-optimized BaSr2V structure (PBE-GGA).

As for the formation energy: 0.609 eV/atom. Its total DFT energy (no corrections) is -0.1100 hartree per atom. The energy above the most stable polymorph in this dataset comes out at 0 meV/atom.

The space group is Fm-3m (No. 225) and the conventional cell measures 8.6879, 8.6879 and 8.6879 Å, with angles of 90.00, 90.00 and 90.00 degrees. The asymmetric unit holds Ba at (0.0000, 0.0000, 0.0000), Sr at (0.2500, 0.2500, 0.2500) and V at (0.0000, 0.0000, 0.5000).

Among the records above, which one has the highest total DFT energy (no corrections)?
BaSr3V

What is the total DFT energy (no corrections) in the third record?
-0.1100 hartree per atom